(1)
VASP calculation (PBE-GGA) on crystalline Y2HgRu at its relaxed geometry.

a b c (Å): 5.020 5.020 3.593
angles (deg): 89.98 89.98 90.04
Fractional coordinates of all 4 atoms:
Y 0.000 0.000 0.000
Y 0.500 0.500 0.000
Hg 0.500 0.000 0.500
Ru 0.000 0.500 0.500

Output
Spin magnetization = 0.000 μB/atom
Density = 8.79 g cm⁻³
VASP energy = -5.984 eV/atom

---

(2)
VASP calculation (PBE-GGA) on crystalline DyY2Tm at its relaxed geometry.

a b c (Å): 3.542 3.542 10.034
angles (deg): 90.00 90.00 90.00
Fractional coordinates of all 4 atoms:
Y 0.000 0.000 0.248
Y 0.000 0.000 0.752
Tm 0.500 0.500 0.000
Dy 0.500 0.500 0.500

Output
Offset from the most stable computed form = 0.0124 eV/atom
Spin magnetization = 0.000 μB/atom
Density = 6.72 g cm⁻³

---

(3)
VASP calculation (PBE-GGA) on crystalline PrDyHo2Sc at its relaxed geometry.

a b c (Å): 5.436 8.327 7.155
angles (deg): 90.02 90.00 90.00
Fractional coordinates of all 10 atoms:
Pr 0.000 0.000 0.500
Pr 0.000 0.000 0.000
Ho 0.500 0.687 0.500
Ho 0.500 0.313 0.500
Ho 0.500 0.687 0.000
Ho 0.500 0.313 0.000
Sc 0.500 0.000 0.750
Sc 0.500 0.000 0.250
Dy 0.000 0.500 0.750
Dy 0.000 0.500 0.250

Output
Spin magnetization = 0.000 μB/atom
Density = 6.96 g cm⁻³
VASP energy = -4.759 eV/atom

---

(4)
VASP calculation (PBE-GGA) on crystalline ScCoTc2 at its relaxed geometry.

a b c (Å): 4.467 2.825 4.815
angles (deg): 80.79 90.00 90.00
Site moments in Bohr magnetons follow the coordinates.
Fractional coordinates of all 4 atoms:
Tc 0.000 0.456 0.496  0.24
Tc 0.000 0.044 0.004  0.24
Co 0.500 0.250 0.250  1.32
Sc 0.500 0.750 0.750  -0.07

Output
Offset from the most stable computed form = 0.1865 eV/atom
Spin magnetization = 0.426 μB/atom
Density = 8.30 g cm⁻³

---

(5)
VASP calculation (PBE-GGA) on crystalline Rb3Hf3MnS8 at its relaxed geometry.

a b c (Å): 7.473 7.479 8.916
angles (deg): 114.84 89.99 119.97
Site moments in Bohr magnetons follow the coordinates.
Fractional coordinates of all 15 atoms:
S 0.280 0.049 0.318  0.03
S 0.231 0.951 0.682  0.03
S 0.231 0.462 0.682  0.03
S 0.769 0.538 0.318  0.03
S 0.729 0.458 0.687  0.00
S 0.769 0.049 0.318  0.03
S 0.271 0.542 0.313  0.00
S 0.720 0.951 0.682  0.03
Hf 0.500 0.500 0.500  0.01
Hf 0.000 0.500 0.500  0.00
Hf 0.500 0.000 0.500  -0.01
Mn 0.000 0.000 0.500  4.25
Rb 0.000 0.500 0.000  0.00
Rb 0.500 0.500 0.000  0.00
Rb 0.000 0.000 0.000  0.00

Output
Spin magnetization = 0.320 μB/atom
Uncorrected formation energy = -1.377 eV per atom
Density = 4.85 g cm⁻³

---

(6)
VASP calculation (PBE-GGA) on crystalline Rb2ReO6 at its relaxed geometry.

a b c (Å): 5.149 6.474 6.474
angles (deg): 120.00 90.00 90.00
Site moments in Bohr magnetons follow the coordinates.
Fractional coordinates of all 9 atoms:
O 0.208 0.000 0.238  0.45
O 0.792 0.000 0.762  0.45
O 0.792 0.762 0.000  0.45
O 0.208 0.762 0.762  0.45
O 0.208 0.238 0.000  0.45
O 0.792 0.238 0.238  0.45
Rb 0.500 0.667 0.333  0.00
Rb 0.500 0.333 0.667  0.00
Re 0.000 0.000 0.000  -0.28

Output
Spin magnetization = 0.333 μB/atom
Uncorrected formation energy = -1.076 eV per atom
Density = 4.03 g cm⁻³

---

(7)
VASP calculation (PBE-GGA) on crystalline Cd3NiHg at its relaxed geometry.

a b c (Å): 4.118 5.279 10.043
angles (deg): 90.00 90.00 112.96
Fractional coordinates of all 10 atoms:
Hg 0.176 0.000 0.500
Hg 0.176 0.000 0.000
Cd 0.884 0.415 0.897
Cd 0.584 0.816 0.750
Cd 0.884 0.415 0.603
Cd 0.469 0.585 0.397
Cd 0.768 0.184 0.250
Cd 0.469 0.585 0.103
Ni 0.069 0.785 0.250
Ni 0.284 0.215 0.750

Output
Offset from the most stable computed form = 0.0000 eV/atom
Spin magnetization = 0.000 μB/atom
Density = 9.86 g cm⁻³

---

(8)
VASP calculation (PBE-GGA) on crystalline Pm2Cu2Ge at its relaxed geometry.

a b c (Å): 4.279 5.670 9.850
angles (deg): 86.33 77.45 67.83
Fractional coordinates of all 10 atoms:
Cu 0.376 0.136 0.111
Cu 0.624 0.864 0.889
Cu 0.920 0.721 0.439
Cu 0.080 0.279 0.561
Pm 0.678 0.297 0.346
Pm 0.086 0.718 0.111
Pm 0.914 0.282 0.889
Pm 0.322 0.703 0.654
Ge 0.614 0.111 0.662
Ge 0.386 0.889 0.338

Output
Spin magnetization = 0.000 μB/atom
Density = 7.53 g cm⁻³
VASP energy = -4.890 eV/atom

---

Q: Which value of spin magnetization does entry 3 give?
A: 0.000 μB/atom